# 1
Material: TlSb4Pd15
Method: DFT, PBE
State: optimized geometry

```
20
Lattice="4.0804 0.0000 0.0000 0.0000 4.0804 0.0000 0.0000 0.0000 20.1309" Properties=species:S:1:pos:R:3 pbc="T T T"
Tl 0.0000 0.0000 0.0000
Sb 0.0000 0.0000 3.9852
Sb 0.0000 0.0000 8.0457
Sb 0.0000 0.0000 12.0853
Sb 0.0000 0.0000 16.1458
Pd 0.0000 2.0402 2.0827
Pd 0.0000 2.0402 6.0630
Pd 0.0000 2.0402 10.0655
Pd 0.0000 2.0402 14.0679
Pd 0.0000 2.0402 18.0483
Pd 2.0402 0.0000 2.0827
Pd 2.0402 0.0000 6.0630
Pd 2.0402 0.0000 10.0655
Pd 2.0402 0.0000 14.0679
Pd 2.0402 0.0000 18.0483
Pd 2.0402 2.0402 0.0000
Pd 2.0402 2.0402 4.0978
Pd 2.0402 2.0402 8.0693
Pd 2.0402 2.0402 12.0617
Pd 2.0402 2.0402 16.0331
```

# 2
Material: Tm3Sb4Pd8
Method: DFT, PBE
State: optimized geometry

```
30
Lattice="0.0000 6.6001 6.6001 6.6001 0.0000 6.6001 6.6001 6.6001 0.0000" Properties=species:S:1:pos:R:3 pbc="T T T"
Tm 6.6001 6.6001 2.9698
Tm 6.6001 2.9698 6.6001
Tm 10.2304 6.6001 6.6001
Tm 2.9698 6.6001 6.6001
Tm 6.6001 10.2304 6.6001
Tm 6.6001 6.6001 10.2304
Sb 0.0000 0.0000 0.0000
Sb 3.3001 3.3001 0.0000
Sb 3.3001 0.0000 3.3001
Sb 6.6001 3.3001 3.3001
Sb 0.0000 3.3001 3.3001
Sb 3.3001 6.6001 3.3001
Sb 3.3001 3.3001 6.6001
Sb 6.6001 6.6001 6.6001
Pd 8.1653 5.0349 5.0349
Pd 2.1840 2.1840 2.1840
Pd 4.4162 4.4162 2.1840
Pd 4.4162 2.1840 4.4162
Pd 5.0349 5.0349 5.0349
Pd 8.1653 8.1653 5.0349
Pd 8.1653 5.0349 8.1653
Pd 11.0163 8.7841 8.7841
Pd 2.1840 4.4162 4.4162
Pd 5.0349 8.1653 5.0349
Pd 5.0349 5.0349 8.1653
Pd 8.1653 8.1653 8.1653
Pd 8.7841 11.0163 8.7841
Pd 8.7841 8.7841 11.0163
Pd 11.0163 11.0163 11.0163
Pd 5.0349 8.1653 8.1653
```

# 3
16
Lattice="8.1247 0.0000 0.0000 0.0000 5.5139 0.0000 -2.6348 0.0000 6.8975" Properties=species:S:1:pos:R:3 comment="TmSbPd6 PBE optimized geometry" e_above_lowest_polymorph_ev_per_atom=0.2608 pbc="T T T"
Tm 0.0000 0.0000 0.0000
Tm 4.0624 2.7570 0.0000
Sb -1.3174 2.7570 3.4488
Sb 2.7449 0.0000 3.4488
Pd 0.0735 0.0000 3.0635
Pd -0.5544 1.3288 5.5048
Pd -0.5544 4.1852 5.5048
Pd 1.9819 1.4282 1.3928
Pd 1.9819 4.0858 1.3928
Pd 1.3540 2.7570 3.8340
Pd 4.1359 2.7570 3.0635
Pd 3.5080 1.4282 5.5048
Pd 3.5080 4.0858 5.5048
Pd 6.0442 1.3288 1.3928
Pd 6.0442 4.1852 1.3928
Pd 5.4163 0.0000 3.8340

# 4
8
Lattice="5.7332 0.0000 0.0000 0.0000 5.7332 0.0000 0.0000 0.0000 4.1011" Properties=species:S:1:pos:R:3 comment="TmSbPd6 PBE optimized geometry" e_above_lowest_polymorph_ev_per_atom=0.0000 pbc="T T T"
Tm 0.0000 0.0000 0.0000
Sb 2.8666 2.8666 0.0000
Pd 0.0000 2.8666 0.0000
Pd 1.4359 1.4359 2.0506
Pd 1.4359 4.2973 2.0506
Pd 2.8666 0.0000 0.0000
Pd 4.2973 1.4359 2.0506
Pd 4.2973 4.2973 2.0506

# 5
11
Lattice="4.3179 -5.2991 0.0000 4.3179 5.2991 0.0000 0.0000 0.0000 6.8973" Properties=species:S:1:pos:R:3 comment="Tm7Sb2Pd2 PBE optimized geometry" e_above_lowest_polymorph_ev_per_atom=0.2175 pbc="T T T"
Tm 0.0000 0.0000 0.0000
Tm 2.1589 2.6496 1.7322
Tm 2.1589 2.6496 5.1651
Tm 2.1589 -2.6496 1.7322
Tm 2.1589 -2.6496 5.1651
Tm 4.3179 0.0000 1.6610
Tm 4.3179 0.0000 5.2363
Sb 1.7286 0.0000 3.4487
Sb 6.9071 0.0000 3.4487
Pd 4.3179 2.3331 0.0000
Pd 4.3179 -2.3331 0.0000

# 6
10
Lattice="3.7492 -6.5238 0.0000 3.7492 6.5238 0.0000 0.0000 0.0000 4.4818" Properties=species:S:1:pos:R:3 comment="TmSb2Pd7 PBE optimized geometry" e_above_lowest_polymorph_ev_per_atom=0.2943 pbc="T T T"
Tm 0.0000 0.0000 0.0000
Sb 3.7492 2.5669 2.2409
Sb 3.7492 -2.5669 2.2409
Pd 1.3557 1.4272 2.2409
Pd 3.7492 3.8020 0.0000
Pd 1.3557 -1.4272 2.2409
Pd 3.7492 0.0000 2.2409
Pd 6.1427 1.4272 2.2409
Pd 3.7492 -3.8020 0.0000
Pd 6.1427 -1.4272 2.2409

# 7
Material: Tm12Sb6Pd
Method: DFT, PBE
State: optimized geometry

```
19
Lattice="6.4986 3.7520 3.9313 -6.4986 3.7520 3.9313 0.0000 -7.5040 3.9313" Properties=species:S:1:pos:R:3 pbc="T T T"
Tm -4.3382 -4.4309 6.4522
Tm -6.0064 1.5415 5.3418
Tm -1.3745 -1.7915 4.5262
Tm 1.6682 -5.9725 5.3418
Tm -0.8642 2.0861 4.5263
Tm -2.2387 0.2946 7.2678
Tm 2.2387 -0.2946 4.5263
Tm 0.8642 -2.0861 7.2678
Tm -1.6682 5.9724 6.4522
Tm 1.3745 1.7915 7.2677
Tm 6.0064 -1.5415 6.4522
Tm 4.3382 4.4309 5.3418
Sb -3.4020 0.4653 4.2574
Sb 1.2981 -3.1788 4.2574
Sb -2.1039 -2.7136 7.5366
Sb 2.1039 2.7136 4.2574
Sb -1.2981 3.1788 7.5366
Sb 3.4020 -0.4653 7.5366
Pd 0.0000 0.0000 0.0000
```

# 8
Material: Tm3SbPd12
Method: DFT, PBE
State: optimized geometry

```
16
Lattice="4.0884 0.0000 0.0000 0.0000 4.0884 0.0000 0.0000 0.0000 16.2987" Properties=species:S:1:pos:R:3 pbc="T T T"
Tm 0.0000 0.0000 0.0000
Tm 0.0000 0.0000 4.0514
Tm 0.0000 0.0000 12.2473
Sb 0.0000 0.0000 8.1493
Pd 0.0000 2.0442 2.0545
Pd 0.0000 2.0442 6.1829
Pd 0.0000 2.0442 10.1158
Pd 0.0000 2.0442 14.2442
Pd 2.0442 0.0000 2.0545
Pd 2.0442 0.0000 6.1829
Pd 2.0442 0.0000 10.1158
Pd 2.0442 0.0000 14.2442
Pd 2.0442 2.0442 0.0000
Pd 2.0442 2.0442 4.1472
Pd 2.0442 2.0442 8.1493
Pd 2.0442 2.0442 12.1515
```

# 9
11
Lattice="3.8293 -6.0490 0.0000 3.8293 6.0490 0.0000 -1.6333 0.0000 4.3251" Properties=species:S:1:pos:R:3 comment="TmSb2Pd8 PBE optimized geometry" e_above_lowest_polymorph_ev_per_atom=0.1004 pbc="T T T"
Tm 0.0000 0.0000 0.0000
Sb 3.0126 2.2009 2.1625
Sb 3.0126 -2.2009 2.1625
Pd 0.4998 1.4422 2.6230
Pd 3.8293 3.2941 0.0000
Pd 0.4998 -1.4422 2.6230
Pd 2.6842 0.0000 0.7526
Pd 3.3410 0.0000 3.5725
Pd 5.5254 1.4422 1.7021
Pd 3.8293 -3.2941 0.0000
Pd 5.5254 -1.4422 1.7021

# 10
11
Lattice="-2.0601 3.7414 6.3047 2.0601 -3.7414 6.3047 2.0601 3.7414 -6.3047" Properties=species:S:1:pos:R:3 comment="TmSb2Pd8 PBE optimized geometry" e_above_lowest_polymorph_ev_per_atom=0.0000 pbc="T T T"
Tm 0.0000 0.0000 0.0000
Sb 0.0000 0.0000 4.0848
Sb 0.0000 0.0000 8.5247
Pd 2.0601 -1.7291 4.2009
Pd 2.0601 0.0000 1.9037
Pd 2.0601 2.1568 0.0000
Pd 0.0000 2.0123 2.1038
Pd 2.0601 1.7291 4.2009
Pd 0.0000 1.5846 6.3047
Pd 0.0000 3.7414 4.4010
Pd 0.0000 5.4705 2.1038

# 11
6
Lattice="0.0000 3.8051 3.8051 3.8051 0.0000 3.8051 3.8051 3.8051 0.0000" Properties=species:S:1:pos:R:3 comment="TmSbPd4 PBE optimized geometry" e_above_lowest_polymorph_ev_per_atom=0.1514 pbc="T T T"
Tm 0.0000 0.0000 0.0000
Sb 5.7076 5.7076 5.7076
Pd 2.8511 2.8511 2.8511
Pd 4.7590 4.7590 2.8511
Pd 4.7590 2.8511 4.7590
Pd 2.8511 4.7590 4.7590

Number 1: formation energy from raw total energies -0.3496 eV/atom, Fermi-level density of states 10.92 states/eV/f.u.. Number 2: formation energy from raw total energies -0.8176 eV/atom, Fermi-level density of states 8.78 states/eV/f.u.. Number 3: formation energy from raw total energies -0.3843 eV/atom, Fermi-level density of states 3.66 states/eV/f.u.. Number 4: formation energy from raw total energies -0.6451 eV/atom, Fermi-level density of states 2.74 states/eV/f.u.. Number 5: formation energy from raw total energies -0.5185 eV/atom, Fermi-level density of states 10.23 states/eV/f.u.. Number 6: formation energy from raw total energies -0.3193 eV/atom, Fermi-level density of states 3.97 states/eV/f.u.. Number 7: formation energy from raw total energies -0.6141 eV/atom, Fermi-level density of states 9.87 states/eV/f.u.. Number 8: formation energy from raw total energies -0.7874 eV/atom, Fermi-level density of states 7.89 states/eV/f.u.. Number 9: formation energy from raw total energies -0.4856 eV/atom, Fermi-level density of states 3.88 states/eV/f.u.. Number 10: formation energy from raw total energies -0.5860 eV/atom, Fermi-level density of states 3.14 states/eV/f.u.. Number 11: formation energy from raw total energies -0.5467 eV/atom, Fermi-level density of states 5.48 states/eV/f.u..